[1]
VASP calculation (PBE) on a relaxed structure of Os2PdRh2.

Cell lengths 6.7805, 6.7805, 6.7805 Å; angles 149.31, 149.31, 43.96 degrees
Positions (direct):
Os1 0.2500 0.7500 0.5000
Os2 0.7500 0.2500 0.5000
Rh1 0.4004 0.4004 0.0000
Rh2 0.5996 0.5996 0.0000
Pd1 0.0000 0.0000 0.0000

Summary:
**Excess energy over the best structure of this formula in the dataset**: 164.8 meV/atom
**DFT formation energy**: 569 meV per atom

[2]
VASP calculation (PBE) on a relaxed structure of Nb3MoSe.

Cell lengths 4.8642, 4.8642, 4.8642 Å; angles 90.00, 90.00, 90.00 degrees
Positions (direct):
Mo1 0.0000 0.0000 0.0000
Nb1 0.5000 0.0000 0.0000
Nb2 0.0000 0.0000 0.5000
Nb3 0.0000 0.5000 0.0000
Se1 0.5000 0.5000 0.5000

Summary:
**ΔE_f (raw)**: 5.988 eV/f.u.
**Excess energy over the best structure of this formula in the dataset**: 273.1 meV/atom

[3]
VASP calculation (PBE) on a relaxed structure of CsSnF3.

Cell lengths 4.6075, 6.5524, 8.0558 Å; angles 90.00, 102.95, 90.00 degrees
Positions (direct):
Sn1 0.2995 0.7500 0.1179
Sn2 0.7005 0.2500 0.8821
F1 0.7606 0.2500 0.6307
F2 0.3935 0.4811 0.7996
F3 0.6065 0.5189 0.2004
F4 0.3935 0.0189 0.7996
F5 0.2394 0.7500 0.3693
F6 0.6065 0.9811 0.2004
Cs1 0.1619 0.2500 0.3851
Cs2 0.8381 0.7500 0.6149

Summary:
**ΔE_f (raw)**: -12.541 eV/f.u.

| no. | total energy (eV/f.u.) |
| --- | --- |
| 1 | -39.5 |
| 2 | -38.5 |
| 3 | -23.0 |